# 1
First-principles (GGA-PBE) data for crystalline La3Sb at its relaxed geometry, as listed in Alexandria.

Structure (POSCAR):
```
La3Sb
1.0
4.9240 0.0000 0.0000
0.0000 4.9240 0.0000
0.0000 0.0000 10.4186
La Sb
6 2
Direct
0.0000 0.0000 0.0000
0.0000 0.5000 0.2500
0.0000 0.5000 0.7500
0.5000 0.0000 0.2500
0.5000 0.0000 0.7500
0.5000 0.5000 0.5000
0.0000 0.0000 0.5000
0.5000 0.5000 0.0000
```

## Properties
Formation energy without anion corrections: -0.557 eV per atom
V: 252.60 Å³ per cell
Final energy: -5.28 eV/atom

# 2
First-principles (GGA-PBE) data for crystalline La3Sb at its relaxed geometry, as listed in Alexandria.

Structure (POSCAR):
```
La3Sb
1.0
7.9639 0.0000 0.0000
0.0000 7.9639 0.0000
0.0000 0.0000 7.9639
La Sb
12 4
Direct
0.0000 0.0000 0.0000
0.0000 0.5000 0.5000
0.2500 0.2500 0.2500
0.2500 0.2500 0.7500
0.2500 0.7500 0.2500
0.2500 0.7500 0.7500
0.5000 0.0000 0.5000
0.5000 0.5000 0.0000
0.7500 0.2500 0.2500
0.7500 0.2500 0.7500
0.7500 0.7500 0.2500
0.7500 0.7500 0.7500
0.0000 0.0000 0.5000
0.0000 0.5000 0.0000
0.5000 0.0000 0.0000
0.5000 0.5000 0.5000
```

## Properties
Formation energy without anion corrections: -0.373 eV per atom
V: 505.10 Å³ per cell
Final energy: -5.10 eV/atom

# 3
First-principles (GGA-PBE) data for crystalline LaSb7 at its relaxed geometry, as listed in Alexandria.

Structure (POSCAR):
```
LaSb7
1.0
0.0000 4.8081 4.8081
4.8081 0.0000 4.8081
4.8081 4.8081 0.0000
La Sb
1 7
Direct
0.0000 0.0000 0.0000
0.0000 0.0000 0.5000
0.0000 0.5000 0.0000
0.0000 0.5000 0.5000
0.5000 0.0000 0.0000
0.5000 0.0000 0.5000
0.5000 0.5000 0.0000
0.5000 0.5000 0.5000
```

## Properties
Formation energy without anion corrections: -0.144 eV per atom
V: 222.30 Å³ per cell
Final energy: -4.37 eV/atom

# 4
First-principles (GGA-PBE) data for crystalline La4Sb at its relaxed geometry, as listed in Alexandria.

Structure (POSCAR):
```
La4Sb
1.0
6.0792 0.0000 0.0000
0.0000 6.0792 0.0000
0.0000 0.0000 6.0792
La Sb
4 1
Direct
0.0000 0.0000 0.0000
0.0000 0.5000 0.5000
0.5000 0.0000 0.5000
0.5000 0.5000 0.0000
0.5000 0.5000 0.5000
```

## Properties
Formation energy without anion corrections: -0.062 eV per atom
V: 224.67 Å³ per cell
Final energy: -4.83 eV/atom

# 5
First-principles (GGA-PBE) data for crystalline La3Sb at its relaxed geometry, as listed in Alexandria.

Structure (POSCAR):
```
La3Sb
1.0
6.3944 0.0000 0.0000
0.0000 6.3944 0.0000
0.0000 0.0000 6.3944
La Sb
6 2
Direct
0.0000 0.2500 0.5000
0.0000 0.7500 0.5000
0.2500 0.5000 0.0000
0.5000 0.0000 0.2500
0.5000 0.0000 0.7500
0.7500 0.5000 0.0000
0.0000 0.0000 0.0000
0.5000 0.5000 0.5000
```

## Properties
Formation energy without anion corrections: -0.492 eV per atom
V: 261.45 Å³ per cell
Final energy: -5.22 eV/atom

# 6
First-principles (GGA-PBE) data for crystalline La3Sb at its relaxed geometry, as listed in Alexandria.

Structure (POSCAR):
```
La3Sb
1.0
6.7678 0.0000 0.0000
0.0000 4.2214 0.0000
-1.5846 0.0000 9.8932
La Sb
6 2
Direct
0.0743 0.2500 0.3505
0.2691 0.7500 0.0870
0.3938 0.7500 0.6302
0.6062 0.2500 0.3698
0.7309 0.2500 0.9130
0.9257 0.7500 0.6495
0.2185 0.2500 0.8407
0.7815 0.7500 0.1593
```

## Properties
Formation energy without anion corrections: -0.565 eV per atom
V: 282.64 Å³ per cell
Final energy: -5.29 eV/atom

# 7
First-principles (GGA-PBE) data for crystalline LaScSb at its relaxed geometry, as listed in Alexandria.

Structure (POSCAR):
```
LaScSb
1.0
4.2000 0.0000 0.0000
-2.1000 3.6373 0.0000
0.0000 0.0000 6.5227
La Sc Sb
1 1 1
Direct
0.0000 0.0000 0.0000
0.3333 0.6667 0.5561
0.6667 0.3333 0.3190
```

## Properties
Formation energy without anion corrections: -0.450 eV per atom
V: 99.65 Å³ per cell
Final energy: -5.58 eV/atom

# 8
First-principles (GGA-PBE) data for crystalline La2ScSb at its relaxed geometry, as listed in Alexandria.

Structure (POSCAR):
```
La2ScSb
1.0
4.7745 0.0000 0.0000
0.0000 4.7745 0.0000
0.0000 0.0000 10.2792
La Sc Sb
4 2 2
Direct
0.0000 0.5000 0.2500
0.0000 0.5000 0.7500
0.5000 0.0000 0.2500
0.5000 0.0000 0.7500
0.0000 0.0000 0.0000
0.5000 0.5000 0.5000
0.0000 0.0000 0.5000
0.5000 0.5000 0.0000
```

## Properties
Formation energy without anion corrections: -0.438 eV per atom
V: 234.33 Å³ per cell
Final energy: -5.52 eV/atom

# 9
First-principles (GGA-PBE) data for crystalline La4Sc2Sb at its relaxed geometry, as listed in Alexandria.

Structure (POSCAR):
```
La4Sc2Sb
1.0
6.0985 0.0000 0.0000
0.0000 6.0985 0.0000
0.0000 0.0000 15.3247
La Sc Sb
8 4 2
Direct
0.0000 0.0000 0.2001
0.0000 0.0000 0.7999
0.0000 0.5000 0.0000
0.0000 0.5000 0.5000
0.5000 0.0000 0.0000
0.5000 0.0000 0.5000
0.5000 0.5000 0.2999
0.5000 0.5000 0.7001
0.0000 0.0000 0.4051
0.0000 0.0000 0.5949
0.5000 0.5000 0.0949
0.5000 0.5000 0.9051
0.0000 0.0000 0.0000
0.5000 0.5000 0.5000
```

## Properties
Formation energy without anion corrections: 0.259 eV per atom
V: 569.96 Å³ per cell
Final energy: -4.95 eV/atom

# 10
First-principles (GGA-PBE) data for crystalline LaScSb at its relaxed geometry, as listed in Alexandria.

Structure (POSCAR):
```
LaScSb
1.0
7.4373 0.0000 0.0000
0.0000 7.4373 0.0000
0.0000 0.0000 7.4373
La Sc Sb
4 4 4
Direct
0.0000 0.0000 0.0000
0.0000 0.5000 0.5000
0.5000 0.0000 0.5000
0.5000 0.5000 0.0000
0.2500 0.2500 0.2500
0.2500 0.7500 0.7500
0.7500 0.2500 0.7500
0.7500 0.7500 0.2500
0.2500 0.2500 0.7500
0.2500 0.7500 0.2500
0.7500 0.2500 0.2500
0.7500 0.7500 0.7500
```

## Properties
Formation energy without anion corrections: 0.141 eV per atom
V: 411.39 Å³ per cell
Final energy: -4.99 eV/atom

# 11
First-principles (GGA-PBE) data for crystalline LaScSb3 at its relaxed geometry, as listed in Alexandria.

Structure (POSCAR):
```
LaScSb3
1.0
5.4364 0.0000 0.0000
0.0000 5.4364 0.0000
0.0000 0.0000 5.4364
La Sc Sb
1 1 3
Direct
0.0000 0.0000 0.0000
0.5000 0.5000 0.5000
0.0000 0.5000 0.5000
0.5000 0.0000 0.5000
0.5000 0.5000 0.0000
```

## Properties
Formation energy without anion corrections: -0.385 eV per atom
V: 160.67 Å³ per cell
Final energy: -5.11 eV/atom

# 12
First-principles (GGA-PBE) data for crystalline LaScSb at its relaxed geometry, as listed in Alexandria.

Structure (POSCAR):
```
LaScSb
1.0
4.5401 0.0000 0.0000
0.0000 4.5401 0.0000
0.0000 0.0000 16.7450
La Sc Sb
4 4 4
Direct
0.0000 0.0000 0.1741
0.0000 0.0000 0.8259
0.5000 0.5000 0.3259
0.5000 0.5000 0.6741
0.0000 0.5000 0.0000
0.0000 0.5000 0.5000
0.5000 0.0000 0.0000
0.5000 0.0000 0.5000
0.0000 0.0000 0.3761
0.0000 0.0000 0.6239
0.5000 0.5000 0.1239
0.5000 0.5000 0.8761
```

## Properties
Formation energy without anion corrections: -0.884 eV per atom
V: 345.16 Å³ per cell
Final energy: -6.01 eV/atom

- Number 5 is which compound?
  La3Sb

- Number 10 is which compound?
  LaScSb